Compound: K2UInSe6
Source: the Alexandria database
Functional: PBE
Structure: optimized geometry

Cell: 7.493 7.496 10.872 Å, 90.00 90.08 90.00°
Atoms (fractional coordinates):
Se 0.299 0.695 0.004
Se 0.006 0.500 0.754
K 0.002 0.993 0.250
In 0.000 0.500 0.500
Se 0.195 0.201 0.003
U 0.500 0.000 0.500
K 0.998 0.007 0.750
Se 0.305 0.701 0.497
In 0.500 0.000 0.000
K 0.502 0.507 0.750
Se 0.506 0.000 0.254
Se 0.799 0.805 0.504
Se 0.494 0.000 0.746
Se 0.701 0.305 0.996
Se 0.805 0.799 0.997
U 0.000 0.500 0.000
K 0.498 0.493 0.250
Se 0.201 0.195 0.496
Se 0.695 0.299 0.503
Se 0.994 0.500 0.246

## Properties
- Formation energy without anion corrections: -0.82 eV/atom
- Uncorrected energy: -4.54 eV per atom